Ac5Cu2 | GGA-PBE | relaxed

abc: 18.5194 7.0915 7.6733
angles: 90.00 96.55 90.00
Closest atoms and distances in Å follow each position.
Space group C2/c (No. 15)
Asymmetric unit:
Ac 0.0000 0.0756 0.2500 (multiplicity 4)  4 Cu 3.11-3.14
Ac 0.0963 0.4039 0.9241 (multiplicity 8)  2 Cu 3.12-3.14
Ac 0.2149 0.0810 0.3019 (multiplicity 8)  2 Cu 3.11-3.13
Cu 0.1082 0.1850 0.5753 (multiplicity 8)  6 Ac 3.11-3.14

Output
Magnetization   0.000 μB per atom
N(E_F)   1.2789 states/eV per atom
Energy relative to the elements   -0.05 eV per atom

=====

AcCu3 | GGA-PBE | relaxed

abc: 3.8742 3.8742 5.5298
angles: 90.00 90.00 90.00
Closest atoms and distances in Å follow each position.
Space group P4mm (No. 99)
Asymmetric unit:
Ac 0.0000 0.0000 0.0000 (multiplicity 1)  8 Cu 3.11-3.24
Cu 0.0000 0.5000 0.5305 (multiplicity 2)  2 Cu 2.43
Cu 0.5000 0.5000 0.2652 (multiplicity 1)  4 Cu 2.43

Output
Magnetization   0.000 μB per atom
N(E_F)   0.2442 states/eV per atom
Energy relative to the elements   0.07 eV per atom

=====

AcCu | GGA-PBE | relaxed

abc: 6.2873 6.2873 6.2873
angles: 90.00 90.00 90.00
Closest atoms and distances in Å follow each position.
Space group Fm-3m (No. 225)
Asymmetric unit:
Ac 0.0000 0.0000 0.0000 (multiplicity 4)  6 Cu 3.14
Cu 0.0000 0.0000 0.5000 (multiplicity 4)  6 Ac 3.14

Output
Magnetization   0.177 μB per atom
N(E_F)   1.3870 states/eV per atom
Energy relative to the elements   0.04 eV per atom

=====

AcCu3 | GGA-PBE | relaxed

abc: 4.1247 10.6003 7.1530
angles: 90.00 90.00 90.00
Closest atoms and distances in Å follow each position.
Space group Cmcm (No. 63)
Asymmetric unit:
Ac 0.0000 0.0621 0.2500 (multiplicity 4)  9 Cu 2.98-3.25
Cu 0.0000 0.2190 0.7500 (multiplicity 4)  6 Cu 2.51-2.55
Cu 0.0000 0.3326 0.0642 (multiplicity 8)  4 Cu 2.51-2.66

Output
Magnetization   0.000 μB per atom
N(E_F)   0.3484 states/eV per atom
Energy relative to the elements   -0.12 eV per atom

=====

AcCu11 | GGA-PBE | relaxed

abc: 10.1819 10.1819 6.6834
angles: 90.00 90.00 90.00
Closest atoms and distances in Å follow each position.
Space group I4_1/amd (No. 141, origin choice 2)
Asymmetric unit:
Ac 0.0000 0.2500 0.3750 (multiplicity 4)  22 Cu 3.24-3.57
Cu 0.0000 0.0000 0.0000 (multiplicity 8)  10 Cu 2.48-2.68
Cu 0.0000 0.2500 0.8750 (multiplicity 4)  12 Cu 2.68-2.76
Cu 0.1248 0.0426 0.6889 (multiplicity 32)  10 Cu 2.48-2.76

Output
Magnetization   0.000 μB per atom
N(E_F)   0.3152 states/eV per atom
Energy relative to the elements   -0.07 eV per atom

=====

AcCu | GGA-PBE | relaxed

abc: 4.2606 4.6152 6.0564
angles: 90.00 110.21 90.00
Closest atoms and distances in Å follow each position.
Space group P2_1/m (No. 11)
Asymmetric unit:
Ac 0.1421 0.2500 0.2836 (multiplicity 2)  7 Cu 3.13-3.38
Cu 0.4398 0.2500 0.8778 (multiplicity 2)  2 Cu 2.69

Output
Magnetization   0.000 μB per atom
N(E_F)   0.6883 states/eV per atom
Energy relative to the elements   -0.15 eV per atom

=====

AcCu12 | GGA-PBE | relaxed

abc: 8.6602 8.6602 4.9080
angles: 90.00 90.00 90.00
Closest atoms and distances in Å follow each position.
Space group I4/mmm (No. 139)
Asymmetric unit:
Ac 0.0000 0.0000 0.0000 (multiplicity 2)  20 Cu 3.10-3.30
Cu 0.0000 0.2398 0.5000 (multiplicity 8)  8 Cu 2.49-2.66
Cu 0.0000 0.3578 0.0000 (multiplicity 8)  9 Cu 2.46-2.66
Cu 0.2500 0.2500 0.2500 (multiplicity 8)  10 Cu 2.45-2.66

Output
Magnetization   0.000 μB per atom
N(E_F)   0.3988 states/eV per atom
Energy relative to the elements   -0.05 eV per atom

=====

Ac5Cu | GGA-PBE | relaxed

abc: 5.3139 16.1691 5.4794
angles: 90.00 90.00 90.00
Closest atoms and distances in Å follow each position.
Space group Cmmm (No. 65)
Asymmetric unit:
Ac 0.0000 0.0000 0.0000 (multiplicity 2)  8 Ac 3.76, 4 Cu 3.82
Ac 0.0000 0.1596 0.5000 (multiplicity 4)  2 Cu 3.70, 10 Ac 3.76-3.95
Ac 0.0000 0.3357 0.0000 (multiplicity 4)  10 Ac 3.76-3.95, 2 Cu 3.82
Cu 0.0000 0.5000 0.5000 (multiplicity 2)  12 Ac 3.70-3.82

Output
Magnetization   0.000 μB per atom
N(E_F)   1.4313 states/eV per atom
Energy relative to the elements   0.19 eV per atom

=====

Ac2Cu | GGA-PBE | relaxed

abc: 3.8495 3.8495 13.5491
angles: 90.00 90.00 90.00
Closest atoms and distances in Å follow each position.
Space group I4/mmm (No. 139)
Asymmetric unit:
Ac 0.0000 0.0000 0.1363 (multiplicity 4)  4 Cu 3.29
Cu 0.0000 0.0000 0.5000 (multiplicity 2)  8 Ac 3.29

Output
Offset from the most stable computed form   0.107 eV per formula unit
Magnetization   0.000 μB per atom
N(E_F)   1.1938 states/eV per atom
Energy relative to the elements   -0.04 eV per atom

=====

AcCu6 | GGA-PBE | relaxed

abc: 5.5104 5.5104 5.5104
angles: 90.00 90.00 90.00
Closest atoms and distances in Å follow each position.
Space group Pm-3m (No. 221)
Asymmetric unit:
Ac 0.0000 0.0000 0.0000 (multiplicity 1)  24 Cu 4.05
Cu 0.1975 0.5000 0.5000 (multiplicity 6)  5 Cu 2.18-2.36

Output
Offset from the most stable computed form   4.616 eV per formula unit
Magnetization   0.000 μB per atom
N(E_F)   0.7121 states/eV per atom
Energy relative to the elements   0.57 eV per atom

=====

Ac2Cu3 | GGA-PBE | relaxed

abc: 4.1228 27.4642 4.4138
angles: 90.00 90.00 90.00
Closest atoms and distances in Å follow each position.
Space group Cmcm (No. 63)
Asymmetric unit:
Ac 0.0000 0.0685 0.2500 (multiplicity 4)  12 Cu 3.25-3.33
Ac 0.0000 0.2013 0.7500 (multiplicity 4)  6 Cu 3.14-3.19
Cu 0.0000 0.3364 0.7500 (multiplicity 4)  2 Cu 2.58
Cu 0.0000 0.3849 0.2500 (multiplicity 4)  3 Cu 2.53-2.58
Cu 0.0000 0.4769 0.2500 (multiplicity 4)  3 Cu 2.53-2.55

Output
Magnetization   0.000 μB per atom
N(E_F)   0.8947 states/eV per atom
Energy relative to the elements   -0.17 eV per atom

=====

Ac2Cu17 | GGA-PBE | relaxed

abc: 8.7716 8.7716 12.7727
angles: 90.00 90.00 120.00
Closest atoms and distances in Å follow each position.
Space group R-3m (No. 166, hexagonal axes)
Asymmetric unit:
Ac 0.0000 0.0000 0.1579 (multiplicity 6)  19 Cu 3.15-3.38
Cu 0.0000 0.0000 0.4044 (multiplicity 6)  7 Cu 2.44-2.69
Cu 0.0000 0.2856 0.5000 (multiplicity 18)  10 Cu 2.50-2.79
Cu 0.0000 0.5000 0.0000 (multiplicity 9)  10 Cu 2.50-2.69
Cu 0.0070 0.5035 0.3418 (multiplicity 18)  9 Cu 2.51-2.76

Output
Magnetization   0.000 μB per atom
N(E_F)   0.3194 states/eV per atom
Energy relative to the elements   -0.08 eV per atom

=====

AcCu6 | GGA-PBE | relaxed

abc: 8.1873 5.3410 10.2945
angles: 90.00 90.00 90.00
Closest atoms and distances in Å follow each position.
Space group Pnma (No. 62)
Asymmetric unit:
Ac 0.2362 0.2500 0.0625 (multiplicity 4)  15 Cu 3.02-3.34
Cu 0.0656 0.0046 0.3114 (multiplicity 8)  8 Cu 2.50-2.72
Cu 0.0729 0.7500 0.1053 (multiplicity 4)  5 Cu 2.50-2.62
Cu 0.1018 0.2500 0.5166 (multiplicity 4)  6 Cu 2.50-2.62
Cu 0.1526 0.7500 0.8584 (multiplicity 4)  8 Cu 2.59-2.88
Cu 0.1778 0.2500 0.7555 (multiplicity 4)  7 Cu 2.50-2.57

Output
Offset from the most stable computed form   0.000 eV per formula unit
Magnetization   0.000 μB per atom
N(E_F)   0.4599 states/eV per atom
Energy relative to the elements   -0.09 eV per atom

=====

AcCu5 | GGA-PBE | relaxed

abc: 5.1036 9.4786 4.4153
angles: 90.00 90.00 90.00
Closest atoms and distances in Å follow each position.
Space group Cmmm (No. 65)
Asymmetric unit:
Ac 0.0000 0.0000 0.0000 (multiplicity 2)  10 Cu 2.94-3.27
Cu 0.0000 0.2431 0.5000 (multiplicity 4)  5 Cu 2.41-2.56
Cu 0.0000 0.3451 0.0000 (multiplicity 4)  4 Cu 2.41-2.65
Cu 0.0000 0.5000 0.5000 (multiplicity 2)  6 Cu 2.44-2.65

Output
Magnetization   0.000 μB per atom
N(E_F)   0.5573 states/eV per atom
Energy relative to the elements   0.11 eV per atom

=====

Ac2DyCu | GGA-PBE | relaxed

abc: 3.8332 3.8332 8.9804
angles: 90.00 90.00 90.00
Closest atoms and distances in Å follow each position.
Space group P4/mmm (No. 123)
Asymmetric unit:
Ac 0.0000 0.0000 0.2069 (multiplicity 2)  4 Cu 3.29
Dy 0.5000 0.5000 0.5000 (multiplicity 1)  8 Ac 3.78, 4 Dy 3.83
Cu 0.5000 0.5000 0.0000 (multiplicity 1)  8 Ac 3.29

Output
Offset from the most stable computed form   0.000 eV per formula unit
Magnetization   0.000 μB per atom
N(E_F)   1.4812 states/eV per atom
Energy relative to the elements   0.00 eV per atom

=====

AcDyCu4 | GGA-PBE | relaxed

abc: 4.1824 7.6763 7.6812
angles: 90.00 90.00 90.00
Closest atoms and distances in Å follow each position.
Space group Immm (No. 71)
Asymmetric unit:
Ac 0.0000 0.0000 0.0000 (multiplicity 2)  12 Cu 3.15-3.18
Dy 0.0000 0.5000 0.0000 (multiplicity 2)  12 Cu 3.02-3.30
Cu 0.0000 0.2335 0.3374 (multiplicity 8)  3 Cu 2.50

Output
Offset from the most stable computed form   0.000 eV per formula unit
Magnetization   0.000 μB per atom
N(E_F)   0.5409 states/eV per atom
Energy relative to the elements   -0.20 eV per atom

=====

Ac2DyCu | GGA-PBE | relaxed

abc: 3.7825 3.7825 35.4516
angles: 90.00 90.00 120.00
Closest atoms and distances in Å follow each position.
Space group R-3m (No. 166, hexagonal axes)
Asymmetric unit:
Ac 0.0000 0.0000 0.0823 (multiplicity 6)  1 Cu 2.92
Dy 0.0000 0.0000 0.5000 (multiplicity 3)  6 Ac 3.70, 6 Dy 3.78
Cu 0.0000 0.0000 0.0000 (multiplicity 3)  2 Ac 2.92

Output
Offset from the most stable computed form   1.870 eV per formula unit
Magnetization   0.000 μB per atom
N(E_F)   1.1419 states/eV per atom
Energy relative to the elements   0.47 eV per atom

=====

AcDyCu | GGA-PBE | relaxed

abc: 4.6685 4.6685 4.8361
angles: 90.00 90.00 120.00
Closest atoms and distances in Å follow each position.
Space group P-6m2 (No. 187)
Asymmetric unit:
Ac 0.0000 0.0000 0.0000 (multiplicity 1)  6 Dy 3.62, 6 Cu 3.62
Dy 0.6667 0.3333 0.5000 (multiplicity 1)  3 Cu 2.70
Cu 0.3333 0.6667 0.5000 (multiplicity 1)  3 Dy 2.70

Output
Offset from the most stable computed form   0.342 eV per formula unit
Magnetization   0.000 μB per atom
N(E_F)   0.9993 states/eV per atom
Energy relative to the elements   0.06 eV per atom

=====

AcDy2Cu6 | GGA-PBE | relaxed

abc: 7.4074 7.4074 3.7595
angles: 90.00 90.00 120.00
Closest atoms and distances in Å follow each position.
Space group P6/mmm (No. 191)
Asymmetric unit:
Ac 0.0000 0.0000 0.0000 (multiplicity 1)  12 Cu 3.13
Dy 0.3333 0.6667 0.0000 (multiplicity 2)  12 Cu 3.09
Cu 0.0000 0.3386 0.5000 (multiplicity 6)  3 Cu 2.39-2.51

Output
Magnetization   0.000 μB per atom
N(E_F)   0.6712 states/eV per atom
Energy relative to the elements   -0.21 eV per atom

=====

AcDyCu | GGA-PBE | relaxed

abc: 6.8303 5.2601 9.5607
angles: 90.00 90.00 90.00
Closest atoms and distances in Å follow each position.
Space group Pnma (No. 62)
Asymmetric unit:
Ac 0.1489 0.2500 0.0916 (multiplicity 4)  4 Cu 3.02-3.36
Dy 0.0016 0.2500 0.6737 (multiplicity 4)  3 Cu 2.87-3.04
Cu 0.1907 0.2500 0.4058 (multiplicity 4)  3 Dy 2.87-3.04, 2 Ac 3.02-3.13

Output
Offset from the most stable computed form   0.022 eV per formula unit
Magnetization   0.000 μB per atom
N(E_F)   1.0425 states/eV per atom
Energy relative to the elements   -0.05 eV per atom

=====

AcDy4Cu5 | GGA-PBE | relaxed

abc: 3.5169 3.5169 17.7983
angles: 90.00 90.00 90.00
Closest atoms and distances in Å follow each position.
Space group P4/mmm (No. 123)
Asymmetric unit:
Ac 0.0000 0.0000 0.0000 (multiplicity 1)  8 Cu 3.28, 4 Ac 3.52
Dy 0.0000 0.0000 0.2095 (multiplicity 2)  8 Cu 2.95-3.02
Dy 0.0000 0.0000 0.4032 (multiplicity 2)  8 Cu 3.03
Cu 0.5000 0.5000 0.1203 (multiplicity 2)  4 Dy 2.95, 4 Ac 3.28, 1 Cu 3.30
Cu 0.5000 0.5000 0.3057 (multiplicity 2)  8 Dy 3.02-3.03, 1 Cu 3.30
Cu 0.5000 0.5000 0.5000 (multiplicity 1)  8 Dy 3.03

Output
Magnetization   0.000 μB per atom
N(E_F)   0.5184 states/eV per atom
Energy relative to the elements   -0.21 eV per atom

=====

AcDyCu4 | GGA-PBE | relaxed

abc: 7.6773 7.6773 7.6773
angles: 90.00 90.00 90.00
Closest atoms and distances in Å follow each position.
Space group F-43m (No. 216)
Asymmetric unit:
Ac 0.0000 0.0000 0.0000 (multiplicity 4)  12 Cu 3.19, 4 Dy 3.32
Dy 0.2500 0.2500 0.7500 (multiplicity 4)  12 Cu 3.18, 4 Ac 3.32
Cu 0.1221 0.1221 0.3779 (multiplicity 16)  6 Cu 2.65-2.78

Output
Offset from the most stable computed form   0.989 eV per formula unit
Magnetization   0.000 μB per atom
N(E_F)   0.7650 states/eV per atom
Energy relative to the elements   -0.04 eV per atom

=====

AcDyCu3 | GGA-PBE | relaxed

abc: 3.9537 25.5712 4.4152
angles: 90.00 90.00 90.00
Closest atoms and distances in Å follow each position.
Space group Cmcm (No. 63)
Asymmetric unit:
Ac 0.0000 0.0747 0.2500 (multiplicity 4)  12 Cu 3.22-3.30
Dy 0.0000 0.2067 0.7500 (multiplicity 4)  7 Cu 2.88-3.05
Cu 0.0000 0.3219 0.7500 (multiplicity 4)  2 Cu 2.59
Cu 0.0000 0.3751 0.2500 (multiplicity 4)  3 Cu 2.55-2.59
Cu 0.0000 0.4750 0.2500 (multiplicity 4)  3 Cu 2.55

Output
Magnetization   0.000 μB per atom
N(E_F)   0.6243 states/eV per atom
Energy relative to the elements   -0.21 eV per atom